The following is a DFT calculation (GGA+U) of crystalline Sr2MnBe2O6 at its relaxed geometry.

abc: 5.3143 5.3143 15.4523
angles: 90.00 90.00 120.00
Space group R-3m (No. 166, hexagonal axes)
One atom of each set of equivalent atoms:
Sr 0.0000 0.0000 0.2200
Mn 0.0000 0.0000 0.0000
Be 0.0000 0.0000 0.4098
O 0.0009 0.5004 0.7440

The value obtained for the total energy is -6.7358 eV/atom. Its total magnetization is 3.002 μB per formula unit. For the calculated volume, the calculation gives 377.9 Å³ per cell.